# 1
# TaBeP | Alexandria via LeMat-Bulk | PBE | optimized geometry
data_TaBeP
_cell_length_a 3.5955
_cell_length_b 3.5955
_cell_length_c 3.3396
_cell_angle_alpha 90.00
_cell_angle_beta 90.00
_cell_angle_gamma 120.00
_space_group_name_H-M_alt 'P -6 m 2'
_space_group_IT_number 187
_space_group_name_Hall 'P -6 2'
loop_
_atom_site_label
_atom_site_type_symbol
_atom_site_fract_x
_atom_site_fract_y
_atom_site_fract_z
Ta1 Ta 0.0000 0.0000 0.0000
Be1 Be 0.3333 0.6667 0.5000
P1 P 0.6667 0.3333 0.5000
# calculated formation energy: -0.5 eV/f.u.
# D(E_F): 0.554 states/eV per atom
# energy relative to the lowest polymorph listed for this composition: 2.695 kcal/mol of atoms

=====

# 2
# Ta4BeP | Alexandria via LeMat-Bulk | PBE | optimized geometry
data_Ta4BeP
_cell_length_a 6.019
_cell_length_b 6.019
_cell_length_c 5.048
_cell_angle_alpha 90.00
_cell_angle_beta 90.00
_cell_angle_gamma 90.00
_space_group_name_H-M_alt 'P 4/m c c'
_space_group_IT_number 124
_space_group_name_Hall '-P 4 2c'
loop_
_atom_site_label
_atom_site_type_symbol
_atom_site_fract_x
_atom_site_fract_y
_atom_site_fract_z
Ta1 Ta 0.157 0.329 0.000
Be1 Be 0.000 0.000 0.250
P1 P 0.500 0.500 0.250
# calculated formation energy: -2.9 eV/f.u.
# D(E_F): 0.408 states/eV per atom
# energy relative to the lowest polymorph listed for this composition: 0.000 kcal/mol of atoms

=====

# 3
# TaBeP2 | Alexandria via LeMat-Bulk | PBE | optimized geometry
data_TaBeP2
_cell_length_a 3.213
_cell_length_b 3.209
_cell_length_c 5.429
_cell_angle_alpha 90.00
_cell_angle_beta 101.81
_cell_angle_gamma 90.00
_space_group_name_H-M_alt 'P 1 2/m 1'
_space_group_IT_number 10
loop_
_space_group_symop_operation_xyz
'x,y,z'
'-x,-y,-z'
'-x,y,-z'
'x,-y,z'
loop_
_atom_site_label
_atom_site_type_symbol
_atom_site_fract_x
_atom_site_fract_y
_atom_site_fract_z
Ta1 Ta 0.000 0.000 0.000
Be1 Be 0.000 0.000 0.500
P1 P 0.414 0.500 0.746
# calculated formation energy: -0.8 eV/f.u.
# D(E_F): 0.331 states/eV per atom

=====

# 4
# TaBe2P | Alexandria via LeMat-Bulk | PBE | optimized geometry
data_TaBe2P
_cell_length_a 3.088
_cell_length_b 3.088
_cell_length_c 5.143
_cell_angle_alpha 90.00
_cell_angle_beta 90.00
_cell_angle_gamma 90.00
_space_group_name_H-M_alt 'P 4 m m'
_space_group_IT_number 99
loop_
_space_group_symop_operation_xyz
'x,y,z'
'-y,x,z'
'-x,-y,z'
'y,-x,z'
'-x,y,z'
'y,x,z'
'x,-y,z'
'-y,-x,z'
loop_
_atom_site_label
_atom_site_type_symbol
_atom_site_fract_x
_atom_site_fract_y
_atom_site_fract_z
Ta1 Ta 0.000 0.000 0.000
Be1 Be 0.000 0.000 0.502
Be2 Be 0.500 0.500 0.317
P1 P 0.500 0.500 0.740
# calculated formation energy: -0.6 eV/f.u.
# D(E_F): 0.186 states/eV per atom

=====

# 5
# TaBe3P | Alexandria via LeMat-Bulk | PBE | optimized geometry
data_TaBe3P
_cell_length_a 4.010
_cell_length_b 4.010
_cell_length_c 4.010
_cell_angle_alpha 90.00
_cell_angle_beta 90.00
_cell_angle_gamma 90.00
_space_group_name_H-M_alt 'P m -3 m'
_space_group_IT_number 221
_space_group_name_Hall '-P 4 2 3'
loop_
_atom_site_label
_atom_site_type_symbol
_atom_site_fract_x
_atom_site_fract_y
_atom_site_fract_z
Ta1 Ta 0.000 0.000 0.000
Be1 Be 0.000 0.500 0.500
P1 P 0.500 0.500 0.500
# calculated formation energy: 4.1 eV/f.u.
# D(E_F): 0.716 states/eV per atom
# energy relative to the lowest polymorph listed for this composition: 0.000 kcal/mol of atoms

=====

# 6
# TaBeP2 | Alexandria via LeMat-Bulk | PBE | optimized geometry
data_TaBeP2
_cell_length_a 3.395
_cell_length_b 3.395
_cell_length_c 5.090
_cell_angle_alpha 90.00
_cell_angle_beta 90.00
_cell_angle_gamma 90.00
_space_group_name_H-M_alt 'P 4 m m'
_space_group_IT_number 99
loop_
_space_group_symop_operation_xyz
'x,y,z'
'-y,x,z'
'-x,-y,z'
'y,-x,z'
'-x,y,z'
'y,x,z'
'x,-y,z'
'-y,-x,z'
loop_
_atom_site_label
_atom_site_type_symbol
_atom_site_fract_x
_atom_site_fract_y
_atom_site_fract_z
Ta1 Ta 0.000 0.000 0.000
Be1 Be 0.500 0.500 0.322
P1 P 0.000 0.000 0.478
P2 P 0.500 0.500 0.875
# calculated formation energy: -0.7 eV/f.u.
# D(E_F): 0.422 states/eV per atom

=====

Which formula does entry 1 have?
TaBeP

=====

Which formula does entry 6 have?
TaBeP2

=====

Look up the D(E_F) of the fourth one.
0.186 states/eV per atom

=====

The lowest calculated formation energy belongs to which entry?
Ta4BeP